1.
# YPa2GaN5 | Alexandria via LeMat-Bulk | GGA-PBE | optimized geometry
data_YPa2GaN5
_symmetry_space_group_name_H-M 'C m c 21'
_symmetry_Int_Tables_number 36
_cell_length_a 3.451
_cell_length_b 13.701
_cell_length_c 10.942
_cell_angle_alpha 90.00
_cell_angle_beta 90.00
_cell_angle_gamma 90.00
loop_
_symmetry_equiv_pos_as_xyz
'x,y,z'
'-x,-y,z+1/2'
'-x,y,z'
'x,-y,z+1/2'
'x+1/2,y+1/2,z'
'-x+1/2,-y+1/2,z+1/2'
'-x+1/2,y+1/2,z'
'x+1/2,-y+1/2,z+1/2'
loop_
_atom_site_label
_atom_site_type_symbol
_atom_site_fract_x
_atom_site_fract_y
_atom_site_fract_z
Y1 Y 0.000 0.213 0.000
Pa1 Pa 0.000 0.125 0.267
Pa2 Pa 0.000 0.138 0.714
Ga1 Ga 0.000 0.498 0.004
N1 N 0.000 0.048 0.073
N2 N 0.000 0.289 0.343
N3 N 0.000 0.295 0.662
N4 N 0.000 0.368 0.081
N5 N 0.000 0.478 0.822
# Total moment ... 0.1 μB per formula unit
# N(E_F) ... 0.43 states/eV per atom
# Calculated volume ... 14.37 A^3/atom
# Theoretical density ... 8.87 Mg/m³
# Total DFT energy (no corrections) ... -9.014 eV per atom
# Formation energy without anion corrections ... -1.2238 eV per atom

2.
# K4Np3CdSe8 | Alexandria via LeMat-Bulk | GGA-PBE | optimized geometry
data_K4Np3CdSe8
_symmetry_space_group_name_H-M 'R -3 m'
_symmetry_Int_Tables_number 166
_symmetry_space_group_name_Hall '-R 3 2"'
_cell_length_a 8.5128
_cell_length_b 8.5128
_cell_length_c 22.9441
_cell_angle_alpha 90.00
_cell_angle_beta 90.00
_cell_angle_gamma 120.00
loop_
_atom_site_label
_atom_site_type_symbol
_atom_site_fract_x
_atom_site_fract_y
_atom_site_fract_z
K1 K 0.0000 0.0000 0.0000
K2 K 0.0000 0.5000 0.0000
Np1 Np 0.0000 0.5000 0.5000
Cd1 Cd 0.0000 0.0000 0.5000
Se1 Se 0.0000 0.0000 0.2347
Se2 Se 0.0034 0.5017 0.7653
# Total moment ... 11.0 μB per formula unit
# N(E_F) ... 1.67 states/eV per atom
# Calculated volume ... 30.00 A^3/atom
# Theoretical density ... 5.57 Mg/m³
# Total DFT energy (no corrections) ... -5.661 eV per atom
# Formation energy without anion corrections ... -1.1610 eV per atom

3.
# FeTeAu3 | Alexandria via LeMat-Bulk | GGA-PBE | optimized geometry
data_FeTeAu3
_symmetry_space_group_name_H-M 'P m -3 m'
_symmetry_Int_Tables_number 221
_symmetry_space_group_name_Hall '-P 4 2 3'
_cell_length_a 5.252
_cell_length_b 5.252
_cell_length_c 5.252
_cell_angle_alpha 90.00
_cell_angle_beta 90.00
_cell_angle_gamma 90.00
loop_
_atom_site_label
_atom_site_type_symbol
_atom_site_fract_x
_atom_site_fract_y
_atom_site_fract_z
Fe1 Fe 0.000 0.000 0.000
Te1 Te 0.500 0.500 0.500
Au1 Au 0.000 0.500 0.500
# Total moment ... 3.9 μB per formula unit
# N(E_F) ... 2.29 states/eV per atom
# Calculated volume ... 28.97 A^3/atom
# Theoretical density ... 8.88 Mg/m³
# Total DFT energy (no corrections) ... -3.188 eV per atom
# Formation energy without anion corrections ... 1.0994 eV per atom